Here is crystalline Cs2Zn3Au2 at its relaxed geometry from the Alexandria database. Energies are from GGA-PBE.

abc: 13.474 4.459 8.422
angles: 90.00 125.74 90.00
Space group C2/m (No. 12)
Asymmetric unit:
Cs  0.139  0.000  0.262
Zn  0.000  0.500  0.500
Zn  0.179  0.500  0.922
Au  0.112  0.000  0.707

Values from the calculation:
Energy relative to the elements = -17.0 kJ per mole of atoms
Fermi-level density of states = 0.4060 states/eV per atom



Here is crystalline Tb3Cd2Co at its relaxed geometry from the Alexandria database. Energies are from GGA-PBE.

abc: 5.189 7.093 8.567
angles: 90.00 107.72 90.00
Space group P2_1/m (No. 11)
Asymmetric unit:
Tb  0.012  0.250  0.000
Tb  0.373  0.000  0.745
Cd  0.199  0.250  0.398
Cd  0.199  0.750  0.398
Co  0.488  0.750  0.000

Values from the calculation:
Energy relative to the elements = -21.5 kJ per mole of atoms
Fermi-level density of states = 0.8492 states/eV per atom



Per-record magnetic moment, μB per atom: 0.00; 0.00